Density functional theory data (GGA-PBE) for a geometry-optimized Co2CuRh structure.

```
Co2CuRh
1.0
-0.3090 -3.1568 3.1414
-3.0205 -3.0217 -1.2941
3.5356 1.7267 -2.1088
Co Cu Rh
2 1 1
Cartesian
0.0000 0.0000 0.0000 Co
-0.5748 -2.1921 -1.2396 Co
-1.6648 -3.0892 0.9236 Cu
0.7809 -2.2596 0.9781 Rh
```

## Properties
**D(E_F)**: 5.45 states/eV/f.u.
**SG**: I-4m2, No. 119
**E_form**: 114.0 meV per atom
**Theoretical density**: 9.621 Mg/m³

***

Density functional theory data (GGA-PBE) for a geometry-optimized Co2CuRh structure.

```
Co2CuRh
1.0
-0.7037 -4.1435 1.6843
3.7299 -2.5484 -0.3064
-0.7692 4.1577 1.6195
Co Cu Rh
2 1 1
Cartesian
0.0002 -0.0003 0.0001 Co
1.5129 -3.3456 0.6889 Co
0.0201 -1.6659 1.9963 Cu
2.2369 -0.8684 1.0010 Rh
```

## Properties
**D(E_F)**: 6.19 states/eV/f.u.
**SG**: I4/mmm, No. 139
**E_form**: 117.2 meV per atom
**Theoretical density**: 9.659 Mg/m³

***

Density functional theory data (GGA-PBE) for a geometry-optimized CoCuRh3 structure.

```
CoCuRh3
1.0
-0.1678 1.7798 4.0623
2.8585 -3.0649 1.4609
3.3911 2.6716 -1.0304
Co Rh Cu
1 3 1
Cartesian
0.0000 0.0000 0.0000 Co
1.4293 -1.5324 0.7305 Rh
1.6955 1.3358 -0.5152 Rh
-0.0839 0.8899 2.0312 Rh
3.0409 0.6933 2.2464 Cu
```

## Properties
**Distance to the lowest polymorph of the same formula**: 0 meV per atom
**D(E_F)**: 5.78 states/eV/f.u.
**SG**: Pm-3m, No. 221
**E_form**: 1140.7 meV per atom
**Theoretical density**: 8.190 Mg/m³

***

Density functional theory data (GGA-PBE) for a geometry-optimized Co2CuRh structure.

```
Co2CuRh
1.0
2.9162 0.0000 0.0000
0.0000 2.9162 0.0000
0.0000 0.0000 5.7633
Co Cu Rh
2 1 1
Cartesian
0.0000 0.0000 0.1466 Co
1.4581 1.4581 1.3850 Co
0.0000 0.0000 2.7722 Cu
1.4581 1.4581 4.3411 Rh
```

## Properties
**D(E_F)**: 3.84 states/eV/f.u.
**SG**: P4mm, No. 99
**E_form**: 122.5 meV per atom
**Theoretical density**: 9.633 Mg/m³

***

Density functional theory data (GGA-PBE) for a geometry-optimized CoCu2Rh structure.

```
CoCu2Rh
1.0
2.6520 0.0000 0.0000
0.0000 2.6520 0.0000
0.0000 0.0000 7.0628
Rh Co Cu
1 1 2
Cartesian
0.0000 0.0000 3.5968 Rh
1.3260 1.3260 5.3249 Co
0.0000 0.0000 7.0405 Cu
1.3260 1.3260 1.6947 Cu
```

## Properties
**D(E_F)**: 4.94 states/eV/f.u.
**SG**: P4mm, No. 99
**E_form**: 80.9 meV per atom
**Theoretical density**: 9.659 Mg/m³

***

Density functional theory data (GGA-PBE) for a geometry-optimized Co2CuRh structure.

```
Co2CuRh
1.0
3.9539 0.0000 0.0000
0.0000 2.5900 0.0576
0.0000 1.1787 4.8498
Co Cu Rh
2 1 1
Cartesian
0.0000 1.6588 4.8570 Co
1.9770 0.4629 1.2350 Co
0.0000 1.7292 2.3299 Cu
1.9770 2.9809 3.7890 Rh
```

## Properties
**D(E_F)**: 3.82 states/eV/f.u.
**SG**: Pm, No. 6
**E_form**: 130.4 meV per atom
**Theoretical density**: 9.558 Mg/m³

***

Density functional theory data (GGA-PBE) for a geometry-optimized CoCu2Rh structure.

```
CoCu2Rh
1.0
-0.8442 1.7178 -3.0564
-0.4528 -2.3285 -1.1836
-5.4414 -2.1036 0.3207
Co Rh Cu
1 1 2
Cartesian
-4.8152 -2.4672 -2.1841 Co
-3.0105 -2.2136 -0.4126 Rh
-0.4779 -2.3276 -1.1762 Cu
-1.8347 -0.2506 -1.7616 Cu
```

## Properties
**D(E_F)**: 3.95 states/eV/f.u.
**SG**: Pm, No. 6
**E_form**: 80.2 meV per atom
**Theoretical density**: 9.623 Mg/m³

***

Density functional theory data (GGA-PBE) for a geometry-optimized CoCu2Rh structure.

```
CoCu2Rh
1.0
4.4873 -0.0065 0.0069
3.7010 2.5373 0.0069
0.8318 0.2571 4.3779
Co Cu Rh
1 2 1
Cartesian
6.7481 2.0857 3.2259 Co
0.0217 0.0067 0.0612 Cu
2.2553 0.6971 1.0168 Cu
4.5052 1.3925 2.2838 Rh
```

## Properties
**D(E_F)**: 3.33 states/eV/f.u.
**SG**: Cm, No. 8
**E_form**: 100.7 meV per atom
**Theoretical density**: 9.608 Mg/m³